P) # Na7Cd2Ag2 GGA-PBE optimized geometry
# Crystal system: orthorhombic
# D(E_F), states/eV/atom: 0.50
data_Na7Cd2Ag2
_chemical_formula_sum 'Na14 Cd4 Ag4'
_symmetry_space_group_name_H-M 'I m m 2'
_symmetry_Int_Tables_number 44
_cell_length_a 3.371
_cell_length_b 18.155
_cell_length_c 10.203
_cell_angle_alpha 90.00
_cell_angle_beta 90.00
_cell_angle_gamma 90.00
loop_
_symmetry_equiv_pos_as_xyz
'x,y,z'
'-x,-y,z'
'-x,y,z'
'x,-y,z'
'x+1/2,y+1/2,z+1/2'
'-x+1/2,-y+1/2,z+1/2'
'-x+1/2,y+1/2,z+1/2'
'x+1/2,-y+1/2,z+1/2'
loop_
_atom_site_label
_atom_site_fract_x
_atom_site_fract_y
_atom_site_fract_z
Na1 0.000 0.000 0.000
Na2 0.000 0.108 0.458
Na3 0.000 0.328 0.662
Na4 0.000 0.344 0.268
Cd1 0.000 0.000 0.697
Cd2 0.000 0.500 0.767
Ag1 0.000 0.253 0.955


Q) # Na7Cd2Ag2 GGA-PBE optimized geometry
# Crystal system: monoclinic
# D(E_F), states/eV/atom: 0.39
data_Na7Cd2Ag2
_chemical_formula_sum 'Na14 Cd4 Ag4'
_symmetry_space_group_name_H-M 'C 1 2/m 1'
_symmetry_Int_Tables_number 12
_cell_length_a 8.387
_cell_length_b 9.305
_cell_length_c 7.892
_cell_angle_alpha 90.00
_cell_angle_beta 103.30
_cell_angle_gamma 90.00
loop_
_symmetry_equiv_pos_as_xyz
'x,y,z'
'-x,-y,-z'
'-x,y,-z'
'x,-y,z'
'x+1/2,y+1/2,z'
'-x+1/2,-y+1/2,-z'
'-x+1/2,y+1/2,-z'
'x+1/2,-y+1/2,z'
loop_
_atom_site_label
_atom_site_fract_x
_atom_site_fract_y
_atom_site_fract_z
Na1 0.000 0.000 0.000
Na2 0.164 0.000 0.431
Na3 0.226 0.301 0.208
Cd1 0.089 0.500 0.843
Ag1 0.000 0.341 0.500


Which of them is the most stable, and which is the least stable? Q) and P), in that order.


P) # Na3CdAg GGA-PBE optimized geometry
# Crystal system: monoclinic
# D(E_F), states/eV/atom: 0.43
data_Na3CdAg
_chemical_formula_sum 'Na6 Cd2 Ag2'
_symmetry_space_group_name_H-M 'P 1 21/m 1'
_symmetry_Int_Tables_number 11
_cell_length_a 6.008
_cell_length_b 5.555
_cell_length_c 8.136
_cell_angle_alpha 90.00
_cell_angle_beta 103.06
_cell_angle_gamma 90.00
loop_
_symmetry_equiv_pos_as_xyz
'x,y,z'
'-x,-y,-z'
'-x,y+1/2,-z'
'x,-y+1/2,z'
loop_
_atom_site_label
_atom_site_fract_x
_atom_site_fract_y
_atom_site_fract_z
Na1 0.000 0.000 0.000
Na2 0.351 0.250 0.400
Na3 0.473 0.250 0.857
Cd1 0.046 0.750 0.364
Ag1 0.194 0.750 0.724


Q) # Na3CdAg GGA-PBE optimized geometry
# Crystal system: trigonal
# D(E_F), states/eV/atom: 0.43
data_Na3CdAg
_chemical_formula_sum 'Na9 Cd3 Ag3'
_symmetry_space_group_name_H-M 'R 3 m'
_symmetry_Int_Tables_number 160
_symmetry_space_group_name_Hall 'R 3 -2"'
_cell_length_a 10.2711
_cell_length_b 10.2711
_cell_length_c 5.4616
_cell_angle_alpha 90.00
_cell_angle_beta 90.00
_cell_angle_gamma 120.00
loop_
_atom_site_label
_atom_site_fract_x
_atom_site_fract_y
_atom_site_fract_z
Na1 0.1754 0.3508 0.0000
Cd1 0.0000 0.0000 0.0266
Ag1 0.0000 0.0000 0.5323


R) # Na3CdAg GGA-PBE optimized geometry
# Crystal system: cubic
# D(E_F), states/eV/atom: 0.48
data_Na3CdAg
_chemical_formula_sum 'Na3 Cd1 Ag1'
_symmetry_space_group_name_H-M 'P m -3 m'
_symmetry_Int_Tables_number 221
_symmetry_space_group_name_Hall '-P 4 2 3'
_cell_length_a 5.606
_cell_length_b 5.606
_cell_length_c 5.606
_cell_angle_alpha 90.00
_cell_angle_beta 90.00
_cell_angle_gamma 90.00
loop_
_atom_site_label
_atom_site_fract_x
_atom_site_fract_y
_atom_site_fract_z
Na1 0.000 0.000 0.500
Cd1 0.500 0.500 0.500
Ag1 0.000 0.000 0.000


Which of them is the most stable, and which is the least stable? P) and R), in that order.